SrCa4Ag | GGA-PBE | optimized geometry

Results
total energy: -2.17 eV per atom
energy above the most stable polymorph in this dataset: 0 meV/atom

Unit cell a=6.240 b=7.484 c=10.435 alpha=90.00 beta=99.49 gamma=90.00
Space group P2_1/m (No. 11)
Inequivalent atoms, fractional coordinates:
Sr 0.232 0.250 0.444
Ca 0.142 0.250 0.059
Ca 0.195 0.750 0.299
Ca 0.333 0.509 0.785
Ag 0.363 0.750 0.033

***

SrCaAg4 | GGA-PBE | optimized geometry

Results
total energy: -2.74 eV per atom
energy above the most stable polymorph in this dataset: 64 meV/atom

Unit cell a=8.309 b=8.309 c=8.309 alpha=90.00 beta=90.00 gamma=90.00
Space group F-43m (No. 216)
Inequivalent atoms, fractional coordinates:
Sr 0.000 0.000 0.000
Ca 0.250 0.250 0.750
Ag 0.124 0.124 0.376

***

Sr2CaAg | GGA-PBE | optimized geometry

Results
total energy: -2.16 eV per atom
energy above the most stable polymorph in this dataset: 72 meV/atom

Unit cell a=4.748 b=4.271 c=8.522 alpha=90.00 beta=106.09 gamma=90.00
Space group Pm (No. 6)
Inequivalent atoms, fractional coordinates:
Sr 0.000 0.000 0.000
Sr 0.339 0.500 0.678
Ca 0.650 0.500 0.299
Ag 0.793 0.000 0.585

***

SrCaAg10 | GGA-PBE | optimized geometry

Results
total energy: -2.84 eV per atom

Unit cell a=4.678 b=5.688 c=9.867 alpha=90.00 beta=90.00 gamma=90.00
Space group Pmmm (No. 47)
Inequivalent atoms, fractional coordinates:
Sr 0.000 0.000 0.000
Ca 0.000 0.500 0.500
Ag 0.000 0.000 0.339
Ag 0.000 0.500 0.173
Ag 0.500 0.000 0.500
Ag 0.500 0.251 0.252
Ag 0.500 0.500 0.000

***

SrCa2Ag | GGA-PBE | optimized geometry

Results
total energy: -2.22 eV per atom
energy above the most stable polymorph in this dataset: 102 meV/atom

Unit cell a=13.758 b=3.934 c=6.000 alpha=90.00 beta=115.67 gamma=90.00
Space group Cm (No. 8)
Inequivalent atoms, fractional coordinates:
Sr 0.000 0.000 0.000
Ca 0.199 0.000 0.700
Ca 0.397 0.000 0.397
Ag 0.207 0.500 0.218

***

Sr2CaAg | GGA-PBE | optimized geometry

Results
total energy: -2.01 eV per atom
energy above the most stable polymorph in this dataset: 220 meV/atom

Unit cell a=5.289 b=5.289 c=10.974 alpha=90.00 beta=90.00 gamma=90.00
Space group I4/mmm (No. 139)
Inequivalent atoms, fractional coordinates:
Sr 0.000 0.500 0.250
Ca 0.000 0.000 0.000
Ag 0.000 0.000 0.500

***

> Among the records above, which one has the lowest total energy?

SrCaAg10

***

> Among the records above, which one has the highest total energy?

number 6